# PBE SmDySb, optimized geometry
# Symmetry: F-43m, No. 216
# Total DFT energy (no corrections): -0.186 hartree per atom
data_SmDySb
_chemical_formula_sum 'Sm1 Dy1 Sb1'
_cell_length_a 5.120
_cell_length_b 5.120
_cell_length_c 5.120
_cell_angle_alpha 60.00
_cell_angle_beta 60.00
_cell_angle_gamma 60.00
_symmetry_space_group_name_H-M 'P 1'
_symmetry_Int_Tables_number 1
_symmetry_space_group_name_Hall 'P 1'
loop_
_atom_site_label
_atom_site_fract_x
_atom_site_fract_y
_atom_site_fract_z
_atom_site_occupancy
Sb1 0.000 0.000 0.000 1
Dy1 0.250 0.250 0.250 1
Sm1 0.750 0.750 0.750 1



# PBE SmDy2Sb3, optimized geometry
# Symmetry: P-3m1, No. 164
# Total DFT energy (no corrections): -0.203 hartree per atom
data_SmDy2Sb3
_chemical_formula_sum 'Sm1 Dy2 Sb3'
_cell_length_a 4.409
_cell_length_b 4.409
_cell_length_c 10.804
_cell_angle_alpha 90.00
_cell_angle_beta 90.00
_cell_angle_gamma 120.00
_symmetry_space_group_name_H-M 'P 1'
_symmetry_Int_Tables_number 1
_symmetry_space_group_name_Hall 'P 1'
loop_
_atom_site_label
_atom_site_fract_x
_atom_site_fract_y
_atom_site_fract_z
_atom_site_occupancy
Sb1 0.000 0.000 0.000 1
Sb2 0.333 0.667 0.329 1
Sb3 0.667 0.333 0.671 1
Dy1 0.333 0.667 0.835 1
Dy2 0.667 0.333 0.165 1
Sm1 0.000 0.000 0.500 1



# PBE SmDySb2Te2, optimized geometry
# Symmetry: P4mm, No. 99
# Total DFT energy (no corrections): -0.187 hartree per atom
data_SmDySb2Te2
_chemical_formula_sum 'Sm1 Dy1 Sb2 Te2'
_cell_length_a 4.303
_cell_length_b 4.303
_cell_length_c 9.328
_cell_angle_alpha 90.00
_cell_angle_beta 90.00
_cell_angle_gamma 90.00
_symmetry_space_group_name_H-M 'P 1'
_symmetry_Int_Tables_number 1
_symmetry_space_group_name_Hall 'P 1'
loop_
_atom_site_label
_atom_site_fract_x
_atom_site_fract_y
_atom_site_fract_z
_atom_site_occupancy
Sb1 0.500 0.000 0.003 1
Sb2 0.000 0.500 0.003 1
Sm1 0.000 0.000 0.726 1
Te1 0.000 0.000 0.373 1
Te2 0.500 0.500 0.621 1
Dy1 0.500 0.500 0.275 1



# PBE SrDySb, optimized geometry
# Symmetry: F-43m, No. 216
# Total DFT energy (no corrections): -0.128 hartree per atom
data_SrDySb
_chemical_formula_sum 'Sr1 Dy1 Sb1'
_cell_length_a 5.363
_cell_length_b 5.363
_cell_length_c 5.363
_cell_angle_alpha 60.00
_cell_angle_beta 60.00
_cell_angle_gamma 60.00
_symmetry_space_group_name_H-M 'P 1'
_symmetry_Int_Tables_number 1
_symmetry_space_group_name_Hall 'P 1'
loop_
_atom_site_label
_atom_site_fract_x
_atom_site_fract_y
_atom_site_fract_z
_atom_site_occupancy
Sb1 0.250 0.250 0.250 1
Dy1 0.000 0.000 0.000 1
Sr1 0.750 0.750 0.750 1



# PBE DyTaSb, optimized geometry
# Symmetry: F-43m, No. 216
# Total DFT energy (no corrections): -0.244 hartree per atom
data_DyTaSb
_chemical_formula_sum 'Dy1 Ta1 Sb1'
_cell_length_a 4.787
_cell_length_b 4.787
_cell_length_c 4.787
_cell_angle_alpha 60.00
_cell_angle_beta 60.00
_cell_angle_gamma 60.00
_symmetry_space_group_name_H-M 'P 1'
_symmetry_Int_Tables_number 1
_symmetry_space_group_name_Hall 'P 1'
loop_
_atom_site_label
_atom_site_fract_x
_atom_site_fract_y
_atom_site_fract_z
_atom_site_occupancy
Ta1 0.750 0.750 0.750 1
Sb1 0.000 0.000 0.000 1
Dy1 0.250 0.250 0.250 1



# PBE Tb3DySb4, optimized geometry
# Symmetry: Pm-3m, No. 221
# Total DFT energy (no corrections): -0.203 hartree per atom
data_Tb3DySb4
_chemical_formula_sum 'Tb3 Dy1 Sb4'
_cell_length_a 6.213
_cell_length_b 6.213
_cell_length_c 6.213
_cell_angle_alpha 90.00
_cell_angle_beta 90.00
_cell_angle_gamma 90.00
_symmetry_space_group_name_H-M 'P 1'
_symmetry_Int_Tables_number 1
_symmetry_space_group_name_Hall 'P 1'
loop_
_atom_site_label
_atom_site_fract_x
_atom_site_fract_y
_atom_site_fract_z
_atom_site_occupancy
Tb1 0.500 0.500 0.000 1
Tb2 0.500 0.000 0.500 1
Tb3 0.000 0.500 0.500 1
Sb1 0.000 0.000 0.500 1
Sb2 0.500 0.500 0.500 1
Sb3 0.500 0.000 0.000 1
Sb4 0.000 0.500 0.000 1
Dy1 0.000 0.000 0.000 1



# PBE TbDy3Sb4, optimized geometry
# Symmetry: Pm-3m, No. 221
# Total DFT energy (no corrections): -0.202 hartree per atom
data_TbDy3Sb4
_chemical_formula_sum 'Tb1 Dy3 Sb4'
_cell_length_a 6.201
_cell_length_b 6.201
_cell_length_c 6.201
_cell_angle_alpha 90.00
_cell_angle_beta 90.00
_cell_angle_gamma 90.00
_symmetry_space_group_name_H-M 'P 1'
_symmetry_Int_Tables_number 1
_symmetry_space_group_name_Hall 'P 1'
loop_
_atom_site_label
_atom_site_fract_x
_atom_site_fract_y
_atom_site_fract_z
_atom_site_occupancy
Tb1 0.000 0.000 0.000 1
Sb1 0.500 0.500 0.500 1
Sb2 0.000 0.500 0.000 1
Sb3 0.500 0.000 0.000 1
Sb4 0.000 0.000 0.500 1
Dy1 0.500 0.500 0.000 1
Dy2 0.500 0.000 0.500 1
Dy3 0.000 0.500 0.500 1



# PBE Tb2DySb3, optimized geometry
# Symmetry: P-3m1, No. 164
# Total DFT energy (no corrections): -0.203 hartree per atom
data_Tb2DySb3
_chemical_formula_sum 'Tb2 Dy1 Sb3'
_cell_length_a 4.389
_cell_length_b 4.389
_cell_length_c 10.752
_cell_angle_alpha 90.00
_cell_angle_beta 90.00
_cell_angle_gamma 120.00
_symmetry_space_group_name_H-M 'P 1'
_symmetry_Int_Tables_number 1
_symmetry_space_group_name_Hall 'P 1'
loop_
_atom_site_label
_atom_site_fract_x
_atom_site_fract_y
_atom_site_fract_z
_atom_site_occupancy
Sb1 0.000 0.000 0.500 1
Sb2 0.333 0.667 0.166 1
Sb3 0.667 0.333 0.834 1
Tb1 0.667 0.333 0.333 1
Tb2 0.333 0.667 0.667 1
Dy1 0.000 0.000 0.000 1



# PBE Dy6TcSb2, optimized geometry
# Symmetry: P-62m, No. 189
# Total DFT energy (no corrections): -0.211 hartree per atom
data_Dy6TcSb2
_chemical_formula_sum 'Dy6 Tc1 Sb2'
_cell_length_a 4.247
_cell_length_b 8.188
_cell_length_c 8.188
_cell_angle_alpha 120.01
_cell_angle_beta 90.00
_cell_angle_gamma 90.00
_symmetry_space_group_name_H-M 'P 1'
_symmetry_Int_Tables_number 1
_symmetry_space_group_name_Hall 'P 1'
loop_
_atom_site_label
_atom_site_fract_x
_atom_site_fract_y
_atom_site_fract_z
_atom_site_occupancy
Dy1 0.000 0.764 0.000 1
Dy2 0.000 0.237 0.237 1
Dy3 0.500 0.398 0.000 1
Dy4 0.000 0.000 0.764 1
Dy5 0.500 0.602 0.602 1
Dy6 0.500 0.000 0.398 1
Sb1 0.000 0.333 0.667 1
Sb2 0.000 0.667 0.333 1
Tc1 0.500 0.000 0.000 1



# PBE DySb4Te7, optimized geometry
# Symmetry: P-3m1, No. 164
# Total DFT energy (no corrections): -0.144 hartree per atom
data_DySb4Te7
_chemical_formula_sum 'Dy1 Sb4 Te7'
_cell_length_a 4.380
_cell_length_b 4.380
_cell_length_c 24.627
_cell_angle_alpha 90.00
_cell_angle_beta 90.00
_cell_angle_gamma 120.00
_symmetry_space_group_name_H-M 'P 1'
_symmetry_Int_Tables_number 1
_symmetry_space_group_name_Hall 'P 1'
loop_
_atom_site_label
_atom_site_fract_x
_atom_site_fract_y
_atom_site_fract_z
_atom_site_occupancy
Te1 0.667 0.333 0.573 1
Te2 0.000 0.000 0.728 1
Te3 0.667 0.333 0.852 1
Te4 0.000 0.000 0.272 1
Te5 0.333 0.667 0.148 1
Te6 0.000 0.000 0.000 1
Te7 0.333 0.667 0.427 1
Sb1 0.333 0.667 0.665 1
Sb2 0.333 0.667 0.920 1
Sb3 0.667 0.333 0.080 1
Sb4 0.667 0.333 0.335 1
Dy1 0.000 0.000 0.500 1



# PBE Dy5SbTe5, optimized geometry
# Symmetry: C2/m, No. 12
# Total DFT energy (no corrections): -0.193 hartree per atom
data_Dy5SbTe5
_chemical_formula_sum 'Dy5 Sb1 Te5'
_cell_length_a 7.508
_cell_length_b 7.508
_cell_length_c 8.663
_cell_angle_alpha 106.73
_cell_angle_beta 106.73
_cell_angle_gamma 48.45
_symmetry_space_group_name_H-M 'P 1'
_symmetry_Int_Tables_number 1
_symmetry_space_group_name_Hall 'P 1'
loop_
_atom_site_label
_atom_site_fract_x
_atom_site_fract_y
_atom_site_fract_z
_atom_site_occupancy
Dy1 0.837 0.837 0.668 1
Dy2 0.500 0.500 0.000 1
Dy3 0.164 0.164 0.832 1
Dy4 0.836 0.836 0.168 1
Dy5 0.163 0.163 0.332 1
Te1 0.665 0.665 0.828 1
Te2 0.000 0.000 0.500 1
Te3 0.336 0.336 0.663 1
Te4 0.335 0.335 0.172 1
Te5 0.664 0.664 0.337 1
Sb1 0.000 0.000 0.000 1



# PBE DyThSb, optimized geometry
# Symmetry: F-43m, No. 216
# Total DFT energy (no corrections): -0.209 hartree per atom
data_DyThSb
_chemical_formula_sum 'Dy1 Th1 Sb1'
_cell_length_a 5.176
_cell_length_b 5.176
_cell_length_c 5.176
_cell_angle_alpha 60.00
_cell_angle_beta 60.00
_cell_angle_gamma 60.00
_symmetry_space_group_name_H-M 'P 1'
_symmetry_Int_Tables_number 1
_symmetry_space_group_name_Hall 'P 1'
loop_
_atom_site_label
_atom_site_fract_x
_atom_site_fract_y
_atom_site_fract_z
_atom_site_occupancy
Th1 0.500 0.500 0.500 1
Sb1 0.750 0.750 0.750 1
Dy1 0.000 0.000 0.000 1



# PBE Dy3ThSb4, optimized geometry
# Symmetry: Cmmm, No. 65
# Total DFT energy (no corrections): -0.213 hartree per atom
data_Dy3ThSb4
_chemical_formula_sum 'Dy3 Th1 Sb4'
_cell_length_a 7.646
_cell_length_b 7.646
_cell_length_c 4.424
_cell_angle_alpha 90.00
_cell_angle_beta 90.00
_cell_angle_gamma 109.48
_symmetry_space_group_name_H-M 'P 1'
_symmetry_Int_Tables_number 1
_symmetry_space_group_name_Hall 'P 1'
loop_
_atom_site_label
_atom_site_fract_x
_atom_site_fract_y
_atom_site_fract_z
_atom_site_occupancy
Sb1 0.256 0.256 0.500 1
Sb2 0.744 0.744 0.500 1
Sb3 0.747 0.253 0.000 1
Sb4 0.253 0.747 0.000 1
Dy1 0.500 0.500 0.000 1
Dy2 0.500 0.000 0.500 1
Dy3 0.000 0.500 0.500 1
Th1 0.000 0.000 0.000 1



# PBE DyTmSb, optimized geometry
# Symmetry: F-43m, No. 216
# Total DFT energy (no corrections): -0.179 hartree per atom
data_DyTmSb
_chemical_formula_sum 'Dy1 Tm1 Sb1'
_cell_length_a 5.029
_cell_length_b 5.029
_cell_length_c 5.029
_cell_angle_alpha 60.00
_cell_angle_beta 60.00
_cell_angle_gamma 60.00
_symmetry_space_group_name_H-M 'P 1'
_symmetry_Int_Tables_number 1
_symmetry_space_group_name_Hall 'P 1'
loop_
_atom_site_label
_atom_site_fract_x
_atom_site_fract_y
_atom_site_fract_z
_atom_site_occupancy
Sb1 0.750 0.750 0.750 1
Tm1 0.500 0.500 0.500 1
Dy1 0.000 0.000 0.000 1



# PBE DyTm3Sb4, optimized geometry
# Symmetry: Pm-3m, No. 221
# Total DFT energy (no corrections): -0.198 hartree per atom
data_DyTm3Sb4
_chemical_formula_sum 'Dy1 Tm3 Sb4'
_cell_length_a 6.145
_cell_length_b 6.145
_cell_length_c 6.145
_cell_angle_alpha 90.00
_cell_angle_beta 90.00
_cell_angle_gamma 90.00
_symmetry_space_group_name_H-M 'P 1'
_symmetry_Int_Tables_number 1
_symmetry_space_group_name_Hall 'P 1'
loop_
_atom_site_label
_atom_site_fract_x
_atom_site_fract_y
_atom_site_fract_z
_atom_site_occupancy
Sb1 0.500 0.000 0.000 1
Sb2 0.500 0.500 0.500 1
Sb3 0.000 0.500 0.000 1
Sb4 0.000 0.000 0.500 1
Tm1 0.500 0.500 0.000 1
Tm2 0.500 0.000 0.500 1
Tm3 0.000 0.500 0.500 1
Dy1 0.000 0.000 0.000 1



# PBE Dy3Tm2Sb3, optimized geometry
# Symmetry: P6_3/mcm, No. 193
# Total DFT energy (no corrections): -0.195 hartree per atom
data_Dy3Tm2Sb3
_chemical_formula_sum 'Dy6 Tm4 Sb6'
_cell_length_a 8.918
_cell_length_b 8.918
_cell_length_c 6.265
_cell_angle_alpha 90.00
_cell_angle_beta 90.00
_cell_angle_gamma 120.00
_symmetry_space_group_name_H-M 'P 1'
_symmetry_Int_Tables_number 1
_symmetry_space_group_name_Hall 'P 1'
loop_
_atom_site_label
_atom_site_fract_x
_atom_site_fract_y
_atom_site_fract_z
_atom_site_occupancy
Sb1 0.000 0.391 0.250 1
Sb2 0.000 0.609 0.750 1
Sb3 0.609 0.609 0.250 1
Sb4 0.391 0.391 0.750 1
Sb5 0.609 0.000 0.750 1
Sb6 0.391 0.000 0.250 1
Dy1 0.247 0.247 0.250 1
Dy2 0.000 0.247 0.750 1
Dy3 0.753 0.000 0.250 1
Dy4 0.753 0.753 0.750 1
Dy5 0.247 0.000 0.750 1
Dy6 0.000 0.753 0.250 1
Tm1 0.333 0.667 0.500 1
Tm2 0.667 0.333 0.000 1
Tm3 0.667 0.333 0.500 1
Tm4 0.333 0.667 0.000 1



# PBE DySbW, optimized geometry
# Symmetry: F-43m, No. 216
# Total DFT energy (no corrections): -0.224 hartree per atom
data_DySbW
_chemical_formula_sum 'Dy1 Sb1 W1'
_cell_length_a 4.891
_cell_length_b 4.891
_cell_length_c 4.891
_cell_angle_alpha 60.00
_cell_angle_beta 60.00
_cell_angle_gamma 60.00
_symmetry_space_group_name_H-M 'P 1'
_symmetry_Int_Tables_number 1
_symmetry_space_group_name_Hall 'P 1'
loop_
_atom_site_label
_atom_site_fract_x
_atom_site_fract_y
_atom_site_fract_z
_atom_site_occupancy
W1 0.750 0.750 0.750 1
Sb1 0.250 0.250 0.250 1
Dy1 0.000 0.000 0.000 1



# PBE DyYSb, optimized geometry
# Symmetry: F-43m, No. 216
# Total DFT energy (no corrections): -0.206 hartree per atom
data_DyYSb
_chemical_formula_sum 'Dy1 Y1 Sb1'
_cell_length_a 5.072
_cell_length_b 5.072
_cell_length_c 5.072
_cell_angle_alpha 60.00
_cell_angle_beta 60.00
_cell_angle_gamma 60.00
_symmetry_space_group_name_H-M 'P 1'
_symmetry_Int_Tables_number 1
_symmetry_space_group_name_Hall 'P 1'
loop_
_atom_site_label
_atom_site_fract_x
_atom_site_fract_y
_atom_site_fract_z
_atom_site_occupancy
Y1 0.000 0.000 0.000 1
Dy1 0.500 0.500 0.500 1
Sb1 0.250 0.250 0.250 1



# PBE Dy2Y4Sb, optimized geometry
# Symmetry: P4/mmm, No. 123
# Total DFT energy (no corrections): -0.205 hartree per atom
data_Dy2Y4Sb
_chemical_formula_sum 'Dy2 Y4 Sb1'
_cell_length_a 7.022
_cell_length_b 7.022
_cell_length_c 4.519
_cell_angle_alpha 90.00
_cell_angle_beta 90.00
_cell_angle_gamma 90.00
_symmetry_space_group_name_H-M 'P 1'
_symmetry_Int_Tables_number 1
_symmetry_space_group_name_Hall 'P 1'
loop_
_atom_site_label
_atom_site_fract_x
_atom_site_fract_y
_atom_site_fract_z
_atom_site_occupancy
Y1 0.242 0.242 0.500 1
Y2 0.758 0.242 0.500 1
Y3 0.242 0.758 0.500 1
Y4 0.758 0.758 0.500 1
Dy1 0.000 0.500 0.000 1
Dy2 0.500 0.000 0.000 1
Sb1 0.000 0.000 0.000 1



# PBE Dy3YSb4, optimized geometry
# Symmetry: Pm-3m, No. 221
# Total DFT energy (no corrections): -0.211 hartree per atom
data_Dy3YSb4
_chemical_formula_sum 'Dy3 Y1 Sb4'
_cell_length_a 6.199
_cell_length_b 6.199
_cell_length_c 6.199
_cell_angle_alpha 90.00
_cell_angle_beta 90.00
_cell_angle_gamma 90.00
_symmetry_space_group_name_H-M 'P 1'
_symmetry_Int_Tables_number 1
_symmetry_space_group_name_Hall 'P 1'
loop_
_atom_site_label
_atom_site_fract_x
_atom_site_fract_y
_atom_site_fract_z
_atom_site_occupancy
Dy1 0.500 0.000 0.500 1
Dy2 0.500 0.500 0.000 1
Dy3 0.000 0.500 0.500 1
Sb1 0.000 0.000 0.500 1
Sb2 0.000 0.500 0.000 1
Sb3 0.500 0.500 0.500 1
Sb4 0.500 0.000 0.000 1
Y1 0.000 0.000 0.000 1